# 1
Compound: PmHo2Er2Sc2
Source: Alexandria
Functional: PBE
Structure: optimized geometry Values from VASP.

```
&SYSTEM
  ibrav = 0, nat = 7, ntyp = 4
/
ATOMIC_SPECIES
Pm 145.00 Pm.upf
Ho 164.93 Ho.upf
Er 167.26 Er.upf
Sc 44.96 Sc.upf
ATOMIC_POSITIONS crystal
Pm 0.000 0.000 0.000
Ho 0.426 0.574 0.500
Ho 0.574 0.426 0.500
Er 0.160 0.840 0.500
Er 0.840 0.160 0.500
Sc 0.293 0.707 0.000
Sc 0.707 0.293 0.000
CELL_PARAMETERS angstrom
2.730 -10.999 0.000
2.730 10.999 0.000
0.000 0.000 3.439
```

Properties
Uncorrected energy: -0.1858 Ha/atom
Total magnetization: 0.0 μB per cell
Symmetry: Cmmm (65)
ΔE_f: 0.0435 eV per atom


# 2
Compound: Sc3GaRh
Source: Alexandria
Functional: PBE
Structure: optimized geometry Values from VASP.

```
&SYSTEM
  ibrav = 0, nat = 5, ntyp = 3
/
ATOMIC_SPECIES
Sc 44.96 Sc.upf
Ga 69.72 Ga.upf
Rh 102.91 Rh.upf
ATOMIC_POSITIONS crystal
Sc 0.000 0.000 0.500
Sc 0.000 0.500 0.000
Sc 0.500 0.000 0.000
Ga 0.000 0.000 0.000
Rh 0.500 0.500 0.500
CELL_PARAMETERS angstrom
4.956 0.000 0.000
0.000 4.956 0.000
0.000 0.000 4.956
```

Properties
Uncorrected energy: -0.2040 Ha/atom
Total magnetization: 0.0 μB per cell
Polymorph energy (0 for the lowest one): 0.534 eV/atom
Symmetry: Pm-3m (221)
ΔE_f: 0.3237 eV per atom